[1]
# Na3CuO2 | the Alexandria database | GGA-PBEsol | optimized geometry
# * volume: 81 Å³/f.u.
# * formation energy without anion corrections: -1.088 eV/atom
# * excess energy over the best structure of this formula in the dataset: 12.9 meV per atom
# * VASP energy: -4.26 eV per atom
data_Na3CuO2
_symmetry_space_group_name_H-M 'I b a m'
_symmetry_Int_Tables_number 72
_symmetry_space_group_name_Hall '-I 2 2c'
_cell_length_a 5.264
_cell_length_b 10.421
_cell_length_c 5.898
_cell_angle_alpha 90.00
_cell_angle_beta 90.00
_cell_angle_gamma 90.00
loop_
_atom_site_label
_atom_site_type_symbol
_atom_site_fract_x
_atom_site_fract_y
_atom_site_fract_z
Na1 Na 0.000 0.000 0.250
Na2 Na 0.000 0.262 0.250
Cu1 Cu 0.000 0.500 0.000
O1 O 0.249 0.125 0.000

[2]
# MnCr2Tc | the Alexandria database | GGA-PBEsol | optimized geometry
# * volume: 47 Å³/f.u.
# * formation energy: 113 meV per atom
# * excess energy over the best structure of this formula in the dataset: 38.4 meV per atom
# * VASP energy: -10.27 eV per atom
data_MnCr2Tc
_symmetry_space_group_name_H-M 'P 1 2/m 1'
_symmetry_Int_Tables_number 10
_symmetry_space_group_name_Hall '-P 2y'
_cell_length_a 2.503
_cell_length_b 4.039
_cell_length_c 4.761
_cell_angle_alpha 90.00
_cell_angle_beta 99.65
_cell_angle_gamma 90.00
loop_
_atom_site_label
_atom_site_type_symbol
_atom_site_fract_x
_atom_site_fract_y
_atom_site_fract_z
Mn1 Mn 0.000 0.000 0.000
Cr1 Cr 0.268 0.500 0.761
Tc1 Tc 0.500 0.000 0.500

[3]
# ScAl2Ag | the Alexandria database | GGA-PBEsol | optimized geometry
# * volume: 69 Å³/f.u.
# * formation energy: -375 meV per atom
# * VASP energy: -4.90 eV per atom
data_ScAl2Ag
_symmetry_space_group_name_H-M 'P 4/m m m'
_symmetry_Int_Tables_number 123
_symmetry_space_group_name_Hall '-P 4 2'
_cell_length_a 4.120
_cell_length_b 4.120
_cell_length_c 4.065
_cell_angle_alpha 90.00
_cell_angle_beta 90.00
_cell_angle_gamma 90.00
loop_
_atom_site_label
_atom_site_type_symbol
_atom_site_fract_x
_atom_site_fract_y
_atom_site_fract_z
Sc1 Sc 0.000 0.000 0.000
Al1 Al 0.000 0.500 0.500
Ag1 Ag 0.500 0.500 0.000

[4]
# Hg3IF | the Alexandria database | GGA-PBEsol | optimized geometry
# * volume: 211 Å³/f.u.
# * formation energy without anion corrections: 0.198 eV/atom
# * VASP energy: -0.88 eV per atom
data_Hg3IF
_symmetry_space_group_name_H-M 'P m -3 m'
_symmetry_Int_Tables_number 221
_symmetry_space_group_name_Hall '-P 4 2 3'
_cell_length_a 5.949
_cell_length_b 5.949
_cell_length_c 5.949
_cell_angle_alpha 90.00
_cell_angle_beta 90.00
_cell_angle_gamma 90.00
loop_
_atom_site_label
_atom_site_type_symbol
_atom_site_fract_x
_atom_site_fract_y
_atom_site_fract_z
Hg1 Hg 0.000 0.000 0.500
I1 I 0.000 0.000 0.000
F1 F 0.500 0.500 0.500